(1)
Entry from Alexandria via LeMat-Bulk: a relaxed BeTlW2 crystal (GGA-PBE).

```
BeTlW2
1.0
-0.011 1.899 2.082
-1.966 -1.796 1.628
5.663 -3.380 3.112
W Tl Be
2 1 1
Direct
0.000 0.000 0.067
0.000 0.000 0.433
0.500 0.500 0.750
0.500 0.500 0.250
```

Properties
* polymorph energy (0 for the lowest one): 166 meV per atom

(2)
Entry from Alexandria via LeMat-Bulk: a relaxed Ti4MnOs3 crystal (GGA-PBE).

```
Ti4MnOs3
1.0
-2.377 -0.677 -1.813
1.803 -1.818 -1.685
-2.814 -9.502 7.241
Ti Os Mn
4 3 1
Direct
0.000 0.000 0.118
0.000 0.000 0.372
0.000 0.000 0.628
0.000 0.000 0.882
0.500 0.500 0.247
0.500 0.500 0.753
0.500 0.500 0.500
0.500 0.500 0.000
```

(3)
Entry from Alexandria via LeMat-Bulk: a relaxed SrLa2Pr crystal (GGA-PBE).

```
SrLa2Pr
1.0
5.366 0.000 0.000
0.000 5.430 0.000
0.000 0.000 5.430
Pr La Sr
1 2 1
Direct
0.500 0.500 0.500
0.000 0.000 0.500
0.000 0.500 0.000
0.500 0.000 0.000
```

Properties
* polymorph energy (0 for the lowest one): 63 meV per atom

Number 1: energy of formation 687 meV/atom. Number 2: energy of formation -608 meV/atom. Number 3: energy of formation 133 meV/atom.